The following is a DFT calculation (GGA-PBE) of a geometry-optimized IrRh3W2 structure.

```
data_IrRh3W2
_chemical_formula_sum 'Ir2 Rh6 W4'
_symmetry_space_group_name_H-M 'P 1'
_symmetry_Int_Tables_number 1
_cell_length_a 3.9508
_cell_length_b 3.9508
_cell_length_c 12.2819
_cell_angle_alpha 99.16
_cell_angle_beta 99.16
_cell_angle_gamma 90.61
loop_
_symmetry_equiv_pos_as_xyz
'x,y,z'
loop_
_atom_site_label
_atom_site_type_symbol
_atom_site_fract_x
_atom_site_fract_y
_atom_site_fract_z
Ir1 Ir 0.6742 0.6742 0.3484
Rh1 Rh 0.1742 0.1742 0.8470
Rh2 Rh 0.6728 0.6728 0.8470
W1 W 0.7500 0.2500 0.5000
W2 W 0.7494 0.2506 0.0000
Rh3 Rh 0.8258 0.8258 0.1530
Rh4 Rh 0.3272 0.3272 0.1530
Rh5 Rh 0.1727 0.1727 0.3454
W3 W 0.2506 0.7494 0.0000
Rh6 Rh 0.8273 0.8273 0.6546
W4 W 0.2500 0.7500 0.5000
Ir2 Ir 0.3258 0.3258 0.6516
```

The following is a DFT calculation (GGA-PBE) of a geometry-optimized IrRh4W2 structure.

```
data_IrRh4W2
_chemical_formula_sum 'Ir2 Rh8 W4'
_symmetry_space_group_name_H-M 'P 1'
_symmetry_Int_Tables_number 1
_cell_length_a 8.8280
_cell_length_b 8.8280
_cell_length_c 8.8280
_cell_angle_alpha 50.44
_cell_angle_beta 144.93
_cell_angle_gamma 144.93
loop_
_symmetry_equiv_pos_as_xyz
'x,y,z'
loop_
_atom_site_label
_atom_site_type_symbol
_atom_site_fract_x
_atom_site_fract_y
_atom_site_fract_z
Rh1 Rh 0.8490 0.5331 0.0331
Ir1 Ir 0.0000 0.7500 0.7500
Rh2 Rh 0.1510 0.4669 0.9669
Rh3 Rh 0.5000 0.3160 0.4669
Rh4 Rh 0.1510 0.1840 0.6840
Ir2 Ir 0.0000 0.2500 0.2500
W1 W 0.8581 0.1790 0.6790
Rh5 Rh 0.5000 0.6840 0.5331
Rh6 Rh 0.8490 0.8160 0.3160
W2 W 0.5000 0.6790 0.8210
Rh7 Rh 0.5000 0.9669 0.8160
Rh8 Rh 0.5000 0.0331 0.1840
W3 W 0.1419 0.8210 0.3210
W4 W 0.5000 0.3210 0.1790
```

The following is a DFT calculation (GGA-PBE) of a geometry-optimized IrRh2W structure.

Summary:
polymorph energy (0 for the lowest one) = 0.439 eV/atom

```
data_IrRh2W
_chemical_formula_sum 'Ir1 Rh2 W1'
_symmetry_space_group_name_H-M 'P 1'
_symmetry_Int_Tables_number 1
_cell_length_a 3.3207
_cell_length_b 3.3207
_cell_length_c 5.4504
_cell_angle_alpha 90.00
_cell_angle_beta 90.00
_cell_angle_gamma 90.00
loop_
_symmetry_equiv_pos_as_xyz
'x,y,z'
loop_
_atom_site_label
_atom_site_type_symbol
_atom_site_fract_x
_atom_site_fract_y
_atom_site_fract_z
W1 W 0.5000 0.5000 0.0000
Ir1 Ir 0.5000 0.5000 0.5000
Rh1 Rh 0.0000 0.0000 0.2496
Rh2 Rh 0.0000 0.0000 0.7504
```

What are the ΔE_f values for these records? In order: -45 314 131 meV/atom.
What are the M_tot values for these records? In order: 0.0 0.0 0.0 μB/f.u..